Version w
Compound: PmTm2Ti
Source: Alexandria
Functional: PBE
Structure: relaxed

a = 3.361 Å, b = 3.361 Å, c = 9.739 Å
α = 90.00°, β = 90.00°, γ = 90.00°
Sites, in units of the cell vectors:
Tm  0.000  0.000  0.212
Ti  0.500  0.500  0.000
Tm  0.000  0.000  0.788
Pm  0.500  0.500  0.500

Properties
Size of the total moment ... 0.00 μB per cell

=====

Version x
Compound: PmTm2Ti
Source: Alexandria
Functional: PBE
Structure: relaxed

a = 3.345 Å, b = 3.345 Å, c = 11.871 Å
α = 81.90°, β = 81.90°, γ = 60.00°
Site moments in Bohr magnetons follow the coordinates.
Sites, in units of the cell vectors:
Tm  0.083  0.083  0.751  0.12
Tm  0.917  0.917  0.249  0.12
Pm  0.500  0.500  0.500  -0.01
Ti  0.000  0.000  0.000  1.32

Properties
Size of the total moment ... 1.91 μB per cell

=====

Which of them is the most stable? Correct choice: version w.

=====

Version w
Compound: Pm2YTi
Source: Alexandria
Functional: PBE
Structure: relaxed

a = 3.686 Å, b = 3.686 Å, c = 8.703 Å
α = 90.00°, β = 90.00°, γ = 90.00°
Site moments in Bohr magnetons follow the coordinates.
Sites, in units of the cell vectors:
Ti  0.500  0.500  0.000  1.14
Pm  0.000  0.000  0.787  0.09
Pm  0.000  0.000  0.213  0.09
Y  0.500  0.500  0.500  -0.16

Properties
Size of the total moment ... 1.37 μB per cell

=====

Version x
Compound: Pm2YTi
Source: Alexandria
Functional: PBE
Structure: relaxed

a = 3.400 Å, b = 3.400 Å, c = 12.059 Å
α = 81.90°, β = 81.90°, γ = 60.00°
Site moments in Bohr magnetons follow the coordinates.
Sites, in units of the cell vectors:
Y  0.500  0.500  0.500  -0.04
Pm  0.917  0.917  0.248  0.03
Ti  0.000  0.000  0.000  1.15
Pm  0.083  0.083  0.752  0.03

Properties
Size of the total moment ... 1.49 μB per cell

=====

Which of them is the most stable? Correct choice: version w.

=====

Version w
Compound: Pm2TiZn
Source: Alexandria
Functional: PBE
Structure: relaxed

a = 3.305 Å, b = 3.305 Å, c = 11.184 Å
α = 81.50°, β = 81.50°, γ = 60.00°
Site moments in Bohr magnetons follow the coordinates.
Sites, in units of the cell vectors:
Zn  0.500  0.500  0.500  0.00
Pm  0.909  0.909  0.274  0.10
Ti  0.000  0.000  0.000  1.15
Pm  0.091  0.091  0.726  0.10

Properties
Size of the total moment ... 1.74 μB per cell

=====

Version x
Compound: Pm2TiZn
Source: Alexandria
Functional: PBE
Structure: relaxed

a = 3.463 Å, b = 5.343 Å, c = 5.343 Å
α = 90.00°, β = 90.00°, γ = 90.00°
Site moments in Bohr magnetons follow the coordinates.
Sites, in units of the cell vectors:
Pm  0.000  0.000  0.500  0.07
Ti  0.500  0.000  0.000  0.55
Pm  0.000  0.500  0.000  0.07
Zn  0.500  0.500  0.500  0.01

Properties
Size of the total moment ... 0.93 μB per cell

=====

Version y
Compound: Pm2TiZn
Source: Alexandria
Functional: PBE
Structure: relaxed

a = 3.439 Å, b = 3.439 Å, c = 8.415 Å
α = 90.00°, β = 90.00°, γ = 90.00°
Sites, in units of the cell vectors:
Ti  0.500  0.500  0.500
Pm  0.000  0.000  0.242
Zn  0.500  0.500  0.000
Pm  0.000  0.000  0.758

Properties
Size of the total moment ... 0.00 μB per cell

=====

Which of them is the most stable? Correct choice: version y.

=====

Version w
Compound: Pm4Tl
Source: Alexandria
Functional: PBE
Structure: relaxed

a = 5.589 Å, b = 5.583 Å, c = 13.608 Å
α = 114.11°, β = 90.00°, γ = 120.03°
Sites, in units of the cell vectors:
Pm  0.904  0.307  0.156
Pm  0.481  0.463  0.022
Pm  0.697  0.893  0.344
Tl  0.300  0.100  0.750
Tl  0.300  0.100  0.250
Pm  0.903  0.307  0.655
Pm  0.696  0.893  0.844
Pm  0.119  0.737  0.478
Pm  0.119  0.737  0.978
Pm  0.481  0.463  0.522

Properties
Size of the total moment ... 0.00 μB per cell

=====

Version x
Compound: Pm4Tl
Source: Alexandria
Functional: PBE
Structure: relaxed

a = 5.894 Å, b = 5.894 Å, c = 5.894 Å
α = 90.00°, β = 90.00°, γ = 90.00°
Sites, in units of the cell vectors:
Pm  0.000  0.500  0.500
Pm  0.500  0.000  0.500
Pm  0.000  0.000  0.000
Tl  0.500  0.500  0.500
Pm  0.500  0.500  0.000

Properties
Size of the total moment ... 0.01 μB per cell

=====

Which of them is the most stable? Correct choice: version w.

=====

Version w
Compound: PmTl2
Source: Alexandria
Functional: PBE
Structure: relaxed

a = 6.249 Å, b = 6.249 Å, c = 6.249 Å
α = 60.00°, β = 60.00°, γ = 60.00°
Sites, in units of the cell vectors:
Tl  0.625  0.625  0.625
Tl  0.125  0.625  0.625
Pm  0.250  0.250  0.250
Tl  0.625  0.625  0.125
Tl  0.625  0.125  0.625
Pm  0.000  0.000  0.000

Properties
Size of the total moment ... 0.00 μB per cell

=====

Version x
Compound: PmTl2
Source: Alexandria
Functional: PBE
Structure: relaxed

a = 5.082 Å, b = 5.082 Å, c = 11.713 Å
α = 49.50°, β = 49.50°, γ = 60.16°
Sites, in units of the cell vectors:
Tl  0.100  0.600  0.566
Pm  0.250  0.750  0.750
Pm  0.750  0.250  0.250
Tl  0.600  0.100  0.066
Tl  0.400  0.900  0.934
Tl  0.900  0.400  0.434

Properties
Size of the total moment ... 0.00 μB per cell

=====

Version y
Compound: PmTl2
Source: Alexandria
Functional: PBE
Structure: relaxed

a = 5.462 Å, b = 5.462 Å, c = 6.673 Å
α = 90.00°, β = 90.00°, γ = 120.00°
Sites, in units of the cell vectors:
Tl  0.667  0.333  0.750
Pm  0.667  0.333  0.250
Tl  0.333  0.667  0.250
Tl  0.000  0.000  0.000
Tl  0.000  0.000  0.500
Pm  0.333  0.667  0.750

Properties
Size of the total moment ... 0.00 μB per cell

=====

Which of them is the most stable? Correct choice: version x.

=====

Version w
Compound: Pm3Tl5
Source: Alexandria
Functional: PBE
Structure: relaxed

a = 5.028 Å, b = 6.773 Å, c = 6.773 Å
α = 95.01°, β = 90.00°, γ = 90.00°
Sites, in units of the cell vectors:
Pm  0.500  0.780  0.220
Tl  0.000  0.000  0.000
Pm  0.500  0.220  0.780
Tl  0.500  0.728  0.728
Tl  0.000  0.000  0.500
Tl  0.500  0.272  0.272
Pm  0.000  0.500  0.500
Tl  0.000  0.500  0.000

Properties
Size of the total moment ... 0.00 μB per cell

=====

Version x
Compound: Pm3Tl5
Source: Alexandria
Functional: PBE
Structure: relaxed

a = 6.617 Å, b = 6.617 Å, c = 10.679 Å
α = 90.00°, β = 90.00°, γ = 101.99°
Sites, in units of the cell vectors:
Tl  0.510  0.072  0.750
Pm  0.796  0.204  0.500
Tl  0.490  0.928  0.250
Tl  0.305  0.305  0.540
Pm  0.204  0.796  0.500
Pm  0.382  0.382  0.250
Pm  0.204  0.796  0.000
Tl  0.695  0.695  0.460
Tl  0.005  0.005  0.750
Tl  0.072  0.510  0.750
Pm  0.618  0.618  0.750
Pm  0.796  0.204  0.000
Tl  0.695  0.695  0.040
Tl  0.928  0.490  0.250
Tl  0.305  0.305  0.960
Tl  0.995  0.995  0.250

Properties
Size of the total moment ... 0.00 μB per cell

=====

Which of them is the most stable? Correct choice: version x.